10
Lattice="-3.097 3.097 5.072 3.097 -3.097 5.072 3.097 3.097 -5.072" Properties=species:S:1:pos:R:3 comment="PBE Cs2GaClF6, relaxed" spacegroup="I4/mmm, No. 139" formation_energy_uncorrected_ev_per_fu=-21.67 dos_ef_per_ev_cell=0.0 pbc="T T T"
Cs 3.097 0.000 2.536
Cs 0.000 3.097 2.536
Ga 0.000 0.000 0.000
Cl 0.000 0.000 5.072
F 0.000 0.000 1.878
F 1.385 1.385 0.000
F 1.712 -1.712 5.072
F -1.712 1.712 5.072
F 1.712 1.712 5.072
F 0.000 0.000 8.265


20
Lattice="9.810 5.664 2.069 -9.810 5.664 2.069 0.000 -11.327 2.069" Properties=species:S:1:pos:R:3 comment="PBE Pm12Tm7Th, relaxed" relative_energy_ev_per_atom=0.0614 spacegroup="R-3, No. 148" delta_e_f_mev_per_atom=291 dos_ef_per_ev_cell=34.1 pbc="T T T"
Pm -4.043 -4.321 2.079
Pm -0.015 -4.001 1.415
Pm -3.457 2.014 1.415
Pm -5.763 1.341 4.126
Pm -1.720 5.662 2.079
Pm 3.473 1.987 1.415
Pm -3.473 -1.987 4.791
Pm 1.720 -5.661 4.126
Pm 5.763 -1.341 2.079
Pm 3.457 -2.014 4.791
Pm 0.015 4.001 4.791
Pm 4.043 4.321 4.126
Tm 0.000 0.000 0.000
Tm -2.421 -1.385 1.650
Tm 2.410 -1.404 1.650
Tm 0.011 2.789 1.650
Tm -0.011 -2.789 4.555
Tm -2.410 1.404 4.555
Tm 2.421 1.385 4.555
Th 0.000 0.000 3.103


12
Lattice="3.690 -6.411 0.000 3.690 6.411 0.000 -2.474 0.000 7.191" Properties=species:S:1:pos:R:3 comment="PBE Ac3Nd2TmSe6, relaxed" spacegroup="C2/m, No. 12" formation_energy_uncorrected_ev_per_fu=-21.80 dos_ef_per_ev_cell=5.8 pbc="T T T"
Ac 0.000 0.000 0.000
Ac 3.690 2.210 0.000
Ac 3.690 -2.210 0.000
Nd 2.453 4.275 3.595
Nd 2.453 -4.275 3.595
Tm 2.453 0.000 3.595
Se 1.275 2.056 1.974
Se 0.085 0.000 5.260
Se 1.275 -2.056 1.974
Se 3.631 2.056 5.216
Se 4.821 0.000 1.931
Se 3.631 -2.056 5.216


16
Lattice="7.060 0.000 0.000 0.000 9.211 0.000 0.000 0.000 6.248" Properties=species:S:1:pos:R:3 comment="PBE Tb2HoFe, relaxed" relative_energy_ev_per_atom=0.0000 spacegroup="Pnma, No. 62" delta_e_f_mev_per_atom=-3 dos_ef_per_ev_cell=14.4 pbc="T T T"
Tb 1.230 0.620 1.082
Tb 1.230 3.986 1.082
Tb 2.300 5.225 4.206
Tb 2.300 8.592 4.206
Tb 4.759 0.620 2.042
Tb 4.759 3.986 2.042
Tb 5.830 5.225 5.166
Tb 5.830 8.592 5.166
Ho 0.348 2.303 4.003
Ho 3.182 6.909 0.879
Ho 3.878 2.303 5.370
Ho 6.712 6.909 2.245
Fe 0.776 6.909 6.037
Fe 2.754 2.303 2.913
Fe 4.306 6.909 3.335
Fe 6.284 2.303 0.211


4
Lattice="1.835 1.060 9.451 -1.835 1.060 9.451 0.000 -2.119 9.451" Properties=species:S:1:pos:R:3 comment="PBE DyTm2Rh, relaxed" relative_energy_ev_per_atom=0.2206 spacegroup="R-3m, No. 166" delta_e_f_mev_per_atom=-337 dos_ef_per_ev_cell=4.8 pbc="T T T"
Dy 0.000 0.000 0.000
Tm 0.000 0.000 6.433
Tm 0.000 0.000 21.920
Rh 0.000 0.000 14.177


20
Lattice="5.179 2.990 2.964 -5.179 2.990 2.964 0.000 -5.980 2.964" Properties=species:S:1:pos:R:3 comment="PBE LaPm3B4O12, relaxed" spacegroup="R32, No. 155" formation_energy_uncorrected_ev_per_fu=-60.62 dos_ef_per_ev_cell=0.0 pbc="T T T"
La 0.000 0.000 0.000
Pm -2.740 -1.234 2.964
Pm 2.439 -1.755 2.964
Pm 0.301 2.990 2.964
B -2.431 -4.211 4.446
B 0.000 0.000 4.446
B -2.431 4.211 4.446
B 4.862 0.000 4.446
O -3.155 -3.021 4.432
O -4.115 0.000 4.446
O -1.038 -4.243 4.460
O -3.155 3.021 4.460
O -1.381 0.000 4.446
O 2.057 -3.564 4.446
O 0.691 -1.196 4.446
O 0.691 1.196 4.446
O -1.038 4.243 4.432
O 4.194 -1.222 4.432
O 2.057 3.564 4.446
O 4.194 1.222 4.460


8
Lattice="3.524 0.000 0.000 0.000 3.524 0.000 0.000 0.000 19.064" Properties=species:S:1:pos:R:3 comment="PBE Ho4Er3Cd, relaxed" relative_energy_ev_per_atom=0.0000 spacegroup="P4/mmm, No. 123" delta_e_f_mev_per_atom=-60 dos_ef_per_ev_cell=10.8 pbc="T T T"
Ho 0.000 0.000 2.104
Ho 0.000 0.000 7.050
Ho 0.000 0.000 12.014
Ho 0.000 0.000 16.960
Er 1.762 1.762 4.574
Er 1.762 1.762 9.532
Er 1.762 1.762 14.490
Cd 1.762 1.762 0.000


18
Lattice="4.230 2.442 5.745 -4.230 2.442 5.745 0.000 -4.884 5.745" Properties=species:S:1:pos:R:3 comment="PBE Na2MgBe3Au12, relaxed" spacegroup="R-3m, No. 166" delta_e_f_mev_per_atom=-69 dos_ef_per_ev_cell=5.9 pbc="T T T"
Na 0.000 0.000 1.603
Na 0.000 0.000 15.631
Mg 0.000 0.000 8.617
Be -2.115 -1.221 5.745
Be -2.115 1.221 11.489
Be 0.000 2.442 5.745
Au -2.233 -1.289 8.014
Au 0.000 -2.153 5.249
Au -1.865 1.077 5.249
Au 0.000 -2.579 9.219
Au -2.233 1.289 9.219
Au -1.865 -1.077 11.985
Au 1.865 1.077 5.249
Au 2.233 -1.289 8.014
Au 0.000 2.579 8.014
Au 1.865 -1.077 11.985
Au 0.000 2.153 11.985
Au 2.233 1.289 9.219


6
Lattice="2.622 -4.603 0.000 2.622 4.603 0.000 -0.135 0.000 5.238" Properties=species:S:1:pos:R:3 comment="PBE ErTmAg4, relaxed" relative_energy_ev_per_atom=0.0034 spacegroup="C2/m, No. 12" delta_e_f_mev_per_atom=-325 dos_ef_per_ev_cell=2.8 pbc="T T T"
Er 0.000 0.000 0.000
Tm 2.555 0.000 2.619
Ag 2.555 3.047 2.619
Ag 2.622 1.549 0.000
Ag 2.622 -1.549 0.000
Ag 2.555 -3.047 2.619


4
Lattice="3.695 0.000 0.000 0.000 3.695 0.000 0.000 0.000 3.564" Properties=species:S:1:pos:R:3 comment="PBE TaCo2Ni, relaxed" relative_energy_ev_per_atom=0.0000 spacegroup="P4/mmm, No. 123" delta_e_f_mev_per_atom=-282 dos_ef_per_ev_cell=2.4 pbc="T T T"
Ta 0.000 0.000 0.000
Co 0.000 1.848 1.782
Co 1.848 0.000 1.782
Ni 1.848 1.848 0.000


12
Lattice="8.902 -2.044 0.000 8.902 2.044 0.000 -1.826 0.000 7.983" Properties=species:S:1:pos:R:3 comment="PBE Y6BiAs2S3, relaxed" spacegroup="C2/m, No. 12" formation_energy_uncorrected_ev_per_fu=-19.70 dos_ef_per_ev_cell=4.3 pbc="T T T"
Y -0.490 0.000 2.189
Y 4.118 0.000 7.262
Y 5.156 0.000 3.330
Y 10.823 0.000 4.653
Y 11.860 0.000 0.721
Y 16.469 0.000 5.794
Bi 8.902 0.000 0.000
As 2.366 0.000 2.664
As 13.612 0.000 5.319
S 1.415 0.000 6.641
S 7.989 0.000 3.991
S 14.564 0.000 1.342